#one
Li3NbO4: relaxed, PBE-GGA.

Cell and atoms, written as CIF:
```
data_Li3NbO4
_cell_length_a 8.527
_cell_length_b 8.527
_cell_length_c 8.527
_cell_angle_alpha 90.00
_cell_angle_beta 90.00
_cell_angle_gamma 90.00
_symmetry_space_group_name_H-M 'I -4 3 m'
_symmetry_Int_Tables_number 217
_symmetry_space_group_name_Hall 'I -4 2 3'
loop_
_atom_site_label
_atom_site_type_symbol
_atom_site_fract_x
_atom_site_fract_y
_atom_site_fract_z
_atom_site_occupancy
Li1 Li 0.108 0.378 0.622 1
Nb1 Nb 0.141 0.141 0.859 1
O1 O 0.114 0.114 0.114 1
O2 O 0.123 0.123 0.637 1
```

Output
- crystal system = cubic

---

#two
Li3NbO4: relaxed, PBE-GGA.

Cell and atoms, written as CIF:
```
data_Li3NbO4
_cell_length_a 4.165
_cell_length_b 4.165
_cell_length_c 8.614
_cell_angle_alpha 90.00
_cell_angle_beta 90.00
_cell_angle_gamma 90.00
_symmetry_space_group_name_H-M 'I 4/m m m'
_symmetry_Int_Tables_number 139
_symmetry_space_group_name_Hall '-I 4 2'
loop_
_atom_site_label
_atom_site_type_symbol
_atom_site_fract_x
_atom_site_fract_y
_atom_site_fract_z
_atom_site_occupancy
Li1 Li 0.000 0.000 0.000 1
Li2 Li 0.000 0.500 0.250 1
Nb1 Nb 0.000 0.000 0.500 1
O1 O 0.000 0.000 0.274 1
O2 O 0.000 0.500 0.000 1
```

Output
- crystal system = tetragonal

---

Of them, #two has the lowest stability.

---

#one
LiNbP4O12: relaxed, PBE-GGA.

Cell and atoms, written as CIF:
```
data_LiNbP4O12
_cell_length_a 12.176
_cell_length_b 8.570
_cell_length_c 10.353
_cell_angle_alpha 90.00
_cell_angle_beta 118.78
_cell_angle_gamma 90.00
_symmetry_space_group_name_H-M 'C 1 2/c 1'
_symmetry_Int_Tables_number 15
loop_
_symmetry_equiv_pos_as_xyz
'x,y,z'
'-x,-y,-z'
'-x,y,-z+1/2'
'x,-y,z+1/2'
'x+1/2,y+1/2,z'
'-x+1/2,-y+1/2,-z'
'-x+1/2,y+1/2,-z+1/2'
'x+1/2,-y+1/2,z+1/2'
loop_
_atom_site_label
_atom_site_type_symbol
_atom_site_fract_x
_atom_site_fract_y
_atom_site_fract_z
_atom_site_occupancy
Li1 Li 0.000 0.016 0.250 1
Nb1 Nb 0.250 0.250 0.500 1
P1 P 0.010 0.266 0.975 1
P2 P 0.188 0.492 0.194 1
O1 O 0.033 0.130 0.906 1
O2 O 0.054 0.245 0.430 1
O3 O 0.068 0.399 0.649 1
O4 O 0.141 0.355 0.073 1
O5 O 0.211 0.079 0.320 1
O6 O 0.222 0.427 0.344 1
```

Output
- crystal system = monoclinic

---

#two
LiNbP4O12: relaxed, PBE-GGA.

Cell and atoms, written as CIF:
```
data_LiNbP4O12
_cell_length_a 17.750
_cell_length_b 12.604
_cell_length_c 5.492
_cell_angle_alpha 90.00
_cell_angle_beta 103.93
_cell_angle_gamma 90.00
_symmetry_space_group_name_H-M 'C 1 2/m 1'
_symmetry_Int_Tables_number 12
loop_
_symmetry_equiv_pos_as_xyz
'x,y,z'
'-x,-y,-z'
'-x,y,-z'
'x,-y,z'
'x+1/2,y+1/2,z'
'-x+1/2,-y+1/2,-z'
'-x+1/2,y+1/2,-z'
'x+1/2,-y+1/2,z'
loop_
_atom_site_label
_atom_site_type_symbol
_atom_site_fract_x
_atom_site_fract_y
_atom_site_fract_z
_atom_site_occupancy
Li1 Li 0.098 0.000 0.477 1
Nb1 Nb 0.250 0.250 0.000 1
P1 P 0.078 0.217 0.168 1
P2 P 0.182 0.383 0.456 1
O1 O 0.000 0.268 0.000 1
O2 O 0.063 0.124 0.311 1
O3 O 0.104 0.317 0.355 1
O4 O 0.135 0.205 0.002 1
O5 O 0.148 0.500 0.387 1
O6 O 0.206 0.374 0.739 1
O7 O 0.243 0.357 0.316 1
```

Output
- crystal system = monoclinic

---

Of them, #two has the lowest stability.